(1)
Ti3NiSb | PBE | optimized geometry

Properties
The formation energy (no corrections) is 1173 meV per atom. Its energy above the lowest structure with this stoichiometry is 6.028 eV per formula unit. The volume comes out at 24.20 Å³/atom. As for the size of the total moment: 0.0 Bohr magnetons per cell.

```
data_Ti3NiSb
_cell_length_a 4.9460
_cell_length_b 4.9460
_cell_length_c 4.9460
_cell_angle_alpha 90.00
_cell_angle_beta 90.00
_cell_angle_gamma 90.00
_space_group_name_H-M_alt 'P 1'
_space_group_IT_number 1
loop_
_space_group_symop_operation_xyz
'x,y,z'
loop_
_atom_site_label
_atom_site_type_symbol
_atom_site_fract_x
_atom_site_fract_y
_atom_site_fract_z
Ti1 Ti 0.0000 0.0000 0.5000
Ti2 Ti 0.0000 0.5000 0.0000
Ti3 Ti 0.5000 0.0000 0.0000
Ni1 Ni 0.5000 0.5000 0.5000
Sb1 Sb 0.0000 0.0000 0.0000
```

(2)
LiSmGdBi | PBE | optimized geometry

Properties
Its formation enthalpy at 0 K is -1.4 eV/f.u. The volume comes out at 27.65 Å³/atom. As for the size of the total moment: 30.9 Bohr magnetons per cell.

```
data_LiSmGdBi
_cell_length_a 7.6193
_cell_length_b 7.6193
_cell_length_c 7.6193
_cell_angle_alpha 90.00
_cell_angle_beta 90.00
_cell_angle_gamma 90.00
_space_group_name_H-M_alt 'P 1'
_space_group_IT_number 1
loop_
_space_group_symop_operation_xyz
'x,y,z'
loop_
_atom_site_label
_atom_site_type_symbol
_atom_site_fract_x
_atom_site_fract_y
_atom_site_fract_z
Li1 Li 0.0000 0.0000 0.0000
Li2 Li 0.0000 0.5000 0.5000
Li3 Li 0.5000 0.0000 0.5000
Li4 Li 0.5000 0.5000 0.0000
Sm1 Sm 0.2500 0.2500 0.2500
Sm2 Sm 0.2500 0.7500 0.7500
Sm3 Sm 0.7500 0.2500 0.7500
Sm4 Sm 0.7500 0.7500 0.2500
Gd1 Gd 0.2500 0.2500 0.7500
Gd2 Gd 0.2500 0.7500 0.2500
Gd3 Gd 0.7500 0.2500 0.2500
Gd4 Gd 0.7500 0.7500 0.7500
Bi1 Bi 0.0000 0.0000 0.5000
Bi2 Bi 0.0000 0.5000 0.0000
Bi3 Bi 0.5000 0.0000 0.0000
Bi4 Bi 0.5000 0.5000 0.5000
```

(3)
V6Cr4Re | PBE | optimized geometry

Properties
Its formation enthalpy at 0 K is 6.1 eV/f.u. The volume comes out at 14.17 Å³/atom. As for the size of the total moment: 0.0 Bohr magnetons per cell.

```
data_V6Cr4Re
_cell_length_a 6.2469
_cell_length_b 6.2469
_cell_length_c 6.2469
_cell_angle_alpha 125.47
_cell_angle_beta 125.47
_cell_angle_gamma 80.77
_space_group_name_H-M_alt 'P 1'
_space_group_IT_number 1
loop_
_space_group_symop_operation_xyz
'x,y,z'
loop_
_atom_site_label
_atom_site_type_symbol
_atom_site_fract_x
_atom_site_fract_y
_atom_site_fract_z
V1 V 0.0000 0.5000 0.5000
V2 V 0.0270 0.0270 0.6241
V3 V 0.4029 0.4029 0.3759
V4 V 0.5000 0.0000 0.5000
V5 V 0.5971 0.9730 0.0000
V6 V 0.9730 0.5971 0.0000
Cr1 Cr 0.0856 0.0856 0.3358
Cr2 Cr 0.2501 0.9144 0.0000
Cr3 Cr 0.7499 0.7499 0.6642
Cr4 Cr 0.9144 0.2501 0.0000
Re1 Re 0.5000 0.5000 0.0000
```

(4)
Tb6TlTe2 | PBE | optimized geometry

Properties
The formation energy (no corrections) is -567 meV per atom. The volume comes out at 30.81 Å³/atom. As for the size of the total moment: 0.0 Bohr magnetons per cell.

```
data_Tb6TlTe2
_cell_length_a 8.0420
_cell_length_b 8.0420
_cell_length_c 9.1316
_cell_angle_alpha 96.66
_cell_angle_beta 96.66
_cell_angle_gamma 28.23
_space_group_name_H-M_alt 'P 1'
_space_group_IT_number 1
loop_
_space_group_symop_operation_xyz
'x,y,z'
loop_
_atom_site_label
_atom_site_type_symbol
_atom_site_fract_x
_atom_site_fract_y
_atom_site_fract_z
Tb1 Tb 0.0626 0.0626 0.1838
Tb2 Tb 0.2387 0.2387 0.8257
Tb3 Tb 0.3420 0.3420 0.4981
Tb4 Tb 0.6580 0.6580 0.5019
Tb5 Tb 0.7613 0.7613 0.1743
Tb6 Tb 0.9374 0.9374 0.8162
Tl1 Tl 0.0000 0.0000 0.5000
Te1 Te 0.3983 0.3983 0.0812
Te2 Te 0.6017 0.6017 0.9188
```

(5)
CrAg3Pd12 | PBE | optimized geometry

Properties
Its formation enthalpy at 0 K is -0.4 eV/f.u. The volume comes out at 15.66 Å³/atom. As for the size of the total moment: 3.4 Bohr magnetons per cell.

```
data_CrAg3Pd12
_cell_length_a 3.9728
_cell_length_b 3.9728
_cell_length_c 15.8790
_cell_angle_alpha 90.00
_cell_angle_beta 90.00
_cell_angle_gamma 90.00
_space_group_name_H-M_alt 'P 1'
_space_group_IT_number 1
loop_
_space_group_symop_operation_xyz
'x,y,z'
loop_
_atom_site_label
_atom_site_type_symbol
_atom_site_fract_x
_atom_site_fract_y
_atom_site_fract_z
Cr1 Cr 0.0000 0.0000 0.0000
Ag1 Ag 0.0000 0.0000 0.2468
Ag2 Ag 0.0000 0.0000 0.5000
Ag3 Ag 0.0000 0.0000 0.7532
Pd1 Pd 0.0000 0.5000 0.1187
Pd2 Pd 0.0000 0.5000 0.3736
Pd3 Pd 0.0000 0.5000 0.6264
Pd4 Pd 0.0000 0.5000 0.8813
Pd5 Pd 0.5000 0.0000 0.1187
Pd6 Pd 0.5000 0.0000 0.3736
Pd7 Pd 0.5000 0.0000 0.6264
Pd8 Pd 0.5000 0.0000 0.8813
Pd9 Pd 0.5000 0.5000 0.0000
Pd10 Pd 0.5000 0.5000 0.2465
Pd11 Pd 0.5000 0.5000 0.5000
Pd12 Pd 0.5000 0.5000 0.7535
```

(6)
BiP | PBE | optimized geometry

Properties
Its energy above the lowest structure with this stoichiometry is 0.099 eV per formula unit. Its formation enthalpy at 0 K is 0.2 eV/f.u. The volume comes out at 25.75 Å³/atom. As for the size of the total moment: 0.0 Bohr magnetons per cell.

```
data_BiP
_cell_length_a 4.1164
_cell_length_b 17.6212
_cell_length_c 4.2602
_cell_angle_alpha 90.00
_cell_angle_beta 90.00
_cell_angle_gamma 90.00
_space_group_name_H-M_alt 'P 1'
_space_group_IT_number 1
loop_
_space_group_symop_operation_xyz
'x,y,z'
loop_
_atom_site_label
_atom_site_type_symbol
_atom_site_fract_x
_atom_site_fract_y
_atom_site_fract_z
Bi1 Bi 0.2500 0.0856 0.2077
Bi2 Bi 0.2500 0.4144 0.2077
Bi3 Bi 0.2500 0.7500 0.2873
Bi4 Bi 0.7500 0.2500 0.7127
Bi5 Bi 0.7500 0.5856 0.7923
Bi6 Bi 0.7500 0.9144 0.7923
P1 P 0.2500 0.2500 0.2744
P2 P 0.2500 0.5853 0.2249
P3 P 0.2500 0.9147 0.2249
P4 P 0.7500 0.0853 0.7751
P5 P 0.7500 0.4147 0.7751
P6 P 0.7500 0.7500 0.7256
```